No. 1
Here is a relaxed Tb2Pm2DyEr4 crystal from Alexandria via LeMat-Bulk. Energies are from GGA-PBE.

Properties
- Crystal system: monoclinic

Cell lengths 3.584, 9.472, 9.525 Å; angles 115.24, 90.00, 100.90 degrees
Positions (direct):
Pm (0.666, 0.331, 0.000)
Pm (0.334, 0.669, 0.000)
Tb (0.853, 0.706, 0.337)
Tb (0.147, 0.294, 0.663)
Er (0.815, 0.629, 0.664)
Er (0.481, 0.961, 0.666)
Er (0.519, 0.039, 0.334)
Er (0.185, 0.371, 0.336)
Dy (0.000, 0.000, 0.000)



No. 2
Here is a relaxed Tb2PmDy5Er crystal from Alexandria via LeMat-Bulk. Energies are from GGA-PBE.

Properties
- Crystal system: tetragonal

Cell lengths 8.901, 8.901, 9.695 Å; angles 117.32, 117.32, 90.00 degrees
Positions (direct):
Dy (0.927, 0.427, 0.267)
Dy (0.073, 0.573, 0.733)
Dy (0.661, 0.161, 0.733)
Dy (0.500, 0.500, 0.000)
Dy (0.427, 0.339, 0.267)
Dy (0.339, 0.839, 0.267)
Dy (0.161, 0.073, 0.733)
Dy (0.839, 0.927, 0.267)
Dy (0.000, 0.000, 0.000)
Dy (0.573, 0.661, 0.733)
Tb (0.887, 0.613, 0.000)
Tb (0.613, 0.113, 0.000)
Tb (0.113, 0.387, 0.000)
Tb (0.387, 0.887, 0.000)
Pm (0.250, 0.250, 0.500)
Pm (0.750, 0.750, 0.500)
Er (0.750, 0.250, 0.500)
Er (0.250, 0.750, 0.500)



No. 3
Here is a relaxed Tb3Pm2Dy6Er crystal from Alexandria via LeMat-Bulk. Energies are from GGA-PBE.

Properties
- Crystal system: monoclinic

Cell lengths 6.165, 6.165, 11.799 Å; angles 94.97, 94.97, 119.96 degrees
Positions (direct):
Tb (0.166, 0.834, 0.500)
Tb (0.834, 0.166, 0.500)
Tb (0.500, 0.500, 0.500)
Dy (0.248, 0.248, 0.749)
Dy (0.084, 0.417, 0.251)
Dy (0.583, 0.916, 0.749)
Dy (0.417, 0.084, 0.251)
Dy (0.916, 0.583, 0.749)
Dy (0.752, 0.752, 0.251)
Pm (0.333, 0.667, 0.000)
Pm (0.667, 0.333, 0.000)
Er (0.000, 0.000, 0.000)



No. 4
Here is a relaxed Tb2PmDy6Er3 crystal from Alexandria via LeMat-Bulk. Energies are from GGA-PBE.

Properties
- Crystal system: monoclinic

Cell lengths 6.136, 6.136, 11.743 Å; angles 94.97, 94.97, 119.94 degrees
Positions (direct):
Er (0.500, 0.500, 0.500)
Er (0.833, 0.167, 0.500)
Er (0.167, 0.833, 0.500)
Dy (0.085, 0.419, 0.252)
Dy (0.581, 0.915, 0.748)
Dy (0.915, 0.581, 0.748)
Dy (0.419, 0.085, 0.252)
Dy (0.751, 0.751, 0.252)
Dy (0.249, 0.249, 0.748)
Tb (0.333, 0.667, 0.000)
Tb (0.667, 0.333, 0.000)
Pm (0.000, 0.000, 0.000)



No. 5
Here is a relaxed Tb2Pm6DyEr crystal from Alexandria via LeMat-Bulk. Energies are from GGA-PBE.

Properties
- Crystal system: monoclinic

Cell lengths 9.639, 8.919, 8.919 Å; angles 117.94, 93.90, 93.90 degrees
Positions (direct):
Pm (0.554, 0.760, 0.120)
Pm (0.619, 0.493, 0.709)
Pm (0.688, 0.013, 0.567)
Pm (0.054, 0.120, 0.760)
Pm (0.946, 0.880, 0.240)
Pm (0.881, 0.291, 0.507)
Pm (0.812, 0.433, 0.987)
Pm (0.188, 0.567, 0.013)
Pm (0.312, 0.987, 0.433)
Pm (0.381, 0.507, 0.291)
Pm (0.119, 0.709, 0.493)
Pm (0.446, 0.240, 0.880)
Dy (0.750, 0.026, 0.974)
Dy (0.250, 0.974, 0.026)
Er (0.750, 0.590, 0.410)
Er (0.250, 0.410, 0.590)
Tb (0.045, 0.300, 0.200)
Tb (0.955, 0.700, 0.800)
Tb (0.455, 0.800, 0.700)
Tb (0.545, 0.200, 0.300)



No. 6
Here is a relaxed TbPm3DyEr crystal from Alexandria via LeMat-Bulk. Energies are from GGA-PBE.

Properties
- Crystal system: monoclinic

Cell lengths 5.092, 8.029, 10.760 Å; angles 116.52, 90.00, 90.00 degrees
Positions (direct):
Pm (0.250, 0.623, 0.792)
Pm (0.750, 0.373, 0.542)
Pm (0.750, 0.875, 0.043)
Pm (0.250, 0.125, 0.957)
Pm (0.750, 0.377, 0.208)
Pm (0.250, 0.627, 0.458)
Dy (0.750, 0.373, 0.874)
Dy (0.250, 0.627, 0.126)
Er (0.750, 0.877, 0.376)
Er (0.250, 0.123, 0.624)
Tb (0.750, 0.877, 0.707)
Tb (0.250, 0.123, 0.293)



| no. | energy of formation (meV/atom) | calculated total energy (eV per atom) |
| --- | --- | --- |
| 1 | -3 | -4.63 |
| 2 | 293 | -4.33 |
| 3 | 15 | -4.62 |
| 4 | 17 | -4.59 |
| 5 | 116 | -4.58 |
| 6 | 20 | -4.65 |